Below is a relaxed TbAlCoRh crystal, with properties calculated at the PBE level.

a = 6.367 Å, b = 6.367 Å, c = 6.367 Å
α = 90.00°, β = 90.00°, γ = 90.00°
Fractional positions:
Tb: 0.000 0.000 0.000
Tb: 0.000 0.500 0.500
Tb: 0.500 0.000 0.500
Tb: 0.500 0.500 0.000
Al: 0.000 0.000 0.500
Al: 0.000 0.500 0.000
Al: 0.500 0.000 0.000
Al: 0.500 0.500 0.500
Co: 0.250 0.250 0.750
Co: 0.250 0.750 0.250
Co: 0.750 0.250 0.250
Co: 0.750 0.750 0.750
Rh: 0.250 0.250 0.250
Rh: 0.250 0.750 0.750
Rh: 0.750 0.250 0.750
Rh: 0.750 0.750 0.250

DFT total energy = -100.1 eV for the cell shown
calculated formation energy = -0.55 eV per atom